Entry 1:
## Ti3Al2O (GGA-PBE)

Data for an optimized crystal structure of Ti3Al2O.

Properties
Space group = P4_132, No. 213
Formation energy (no corrections) = -1181 meV per atom
DFT total energy = -43.2 eV/f.u.

```
data_Ti3Al2O
_space_group_name_H-M_alt 'P 1'
_space_group_IT_number 1
_space_group_name_Hall 'P 1'
_cell_length_a 6.918
_cell_length_b 6.918
_cell_length_c 6.918
_cell_angle_alpha 90.00
_cell_angle_beta 90.00
_cell_angle_gamma 90.00
loop_
_atom_site_label
_atom_site_type_symbol
_atom_site_fract_x
_atom_site_fract_y
_atom_site_fract_z
Ti1 Ti 0.958 0.375 0.792
Al1 Al 0.179 0.821 0.321
O1 O 0.875 0.125 0.625
Ti2 Ti 0.542 0.625 0.292
Al2 Al 0.071 0.071 0.071
Ti3 Ti 0.708 0.042 0.875
Ti4 Ti 0.292 0.542 0.625
Ti5 Ti 0.125 0.208 0.458
Ti6 Ti 0.042 0.875 0.708
O2 O 0.125 0.625 0.875
Ti7 Ti 0.458 0.125 0.208
Al3 Al 0.929 0.571 0.429
Ti8 Ti 0.792 0.958 0.375
Ti9 Ti 0.375 0.792 0.958
Al4 Al 0.321 0.179 0.821
Al5 Al 0.571 0.429 0.929
Al6 Al 0.821 0.321 0.179
Ti10 Ti 0.625 0.292 0.542
Ti11 Ti 0.875 0.708 0.042
O3 O 0.625 0.875 0.125
Ti12 Ti 0.208 0.458 0.125
Al7 Al 0.679 0.679 0.679
Al8 Al 0.429 0.929 0.571
O4 O 0.375 0.375 0.375
```

***

Entry 2:
## TiAlO (GGA-PBE)

Data for an optimized crystal structure of TiAlO.

Properties
Offset from the most stable computed form = 104 meV per atom
Space group = Amm2, No. 38
Formation energy (no corrections) = -1592 meV per atom
DFT total energy = -21.4 eV/f.u.

```
data_TiAlO
_space_group_name_H-M_alt 'P 1'
_space_group_IT_number 1
_space_group_name_Hall 'P 1'
_cell_length_a 5.604
_cell_length_b 2.941
_cell_length_c 9.923
_cell_angle_alpha 90.00
_cell_angle_beta 90.00
_cell_angle_gamma 90.00
loop_
_atom_site_label
_atom_site_type_symbol
_atom_site_fract_x
_atom_site_fract_y
_atom_site_fract_z
Al1 Al 0.747 0.000 0.610
Ti1 Ti 0.000 0.500 0.344
Ti2 Ti 0.500 0.500 0.793
O1 O 0.229 0.500 0.923
Ti3 Ti 0.000 0.000 0.844
Al2 Al 0.253 0.500 0.110
Al3 Al 0.253 0.000 0.610
Ti4 Ti 0.500 0.000 0.293
O2 O 0.771 0.500 0.923
O3 O 0.229 0.000 0.423
Al4 Al 0.747 0.500 0.110
O4 O 0.771 0.000 0.423
```

***

Entry 3:
## TiAlO3 (GGA-PBE)

Data for an optimized crystal structure of TiAlO3.

Properties
Space group = Cmcm, No. 63
Formation energy (no corrections) = -2710 meV per atom
DFT total energy = -40.1 eV/f.u.

```
data_TiAlO3
_space_group_name_H-M_alt 'P 1'
_space_group_IT_number 1
_space_group_name_Hall 'P 1'
_cell_length_a 5.494
_cell_length_b 5.494
_cell_length_c 11.995
_cell_angle_alpha 90.00
_cell_angle_beta 90.00
_cell_angle_gamma 119.83
loop_
_atom_site_label
_atom_site_type_symbol
_atom_site_fract_x
_atom_site_fract_y
_atom_site_fract_z
O1 O 0.669 0.301 0.750
O2 O 0.995 0.667 0.925
O3 O 0.699 0.331 0.250
O4 O 0.995 0.667 0.575
Al1 Al 0.000 0.000 0.000
O5 O 0.964 0.964 0.250
O6 O 0.661 0.661 0.078
O7 O 0.661 0.661 0.422
Al2 Al 0.665 0.335 0.000
O8 O 0.005 0.333 0.075
O9 O 0.036 0.036 0.750
Ti1 Ti 0.668 0.957 0.750
Al3 Al 0.335 0.665 0.500
Ti2 Ti 0.379 0.379 0.750
Al4 Al 0.665 0.335 0.500
O10 O 0.339 0.339 0.922
O11 O 0.331 0.699 0.250
O12 O 0.333 0.005 0.075
Ti3 Ti 0.043 0.332 0.250
Al5 Al 0.335 0.665 0.000
O13 O 0.005 0.333 0.425
O14 O 0.667 0.995 0.925
O15 O 0.333 0.005 0.425
Ti4 Ti 0.332 0.043 0.250
O16 O 0.667 0.995 0.575
O17 O 0.301 0.669 0.750
O18 O 0.339 0.339 0.578
Al6 Al 0.000 0.000 0.500
Ti5 Ti 0.957 0.668 0.750
Ti6 Ti 0.621 0.621 0.250
```

***

Entry 4:
## TiAlTlO4 (GGA-PBE)

Data for an optimized crystal structure of TiAlTlO4.

Properties
Space group = P2_1/m, No. 11
Formation energy (no corrections) = -2381 meV per atom
DFT total energy = -50.5 eV/f.u.

```
data_TiAlTlO4
_space_group_name_H-M_alt 'P 1'
_space_group_IT_number 1
_space_group_name_Hall 'P 1'
_cell_length_a 5.317
_cell_length_b 5.464
_cell_length_c 9.137
_cell_angle_alpha 90.00
_cell_angle_beta 124.53
_cell_angle_gamma 90.00
loop_
_atom_site_label
_atom_site_type_symbol
_atom_site_fract_x
_atom_site_fract_y
_atom_site_fract_z
O1 O 0.402 0.750 0.254
O2 O 0.598 0.250 0.746
Ti1 Ti 0.804 0.750 0.472
Tl1 Tl 0.385 0.250 0.134
Al1 Al 0.211 0.750 0.361
O3 O 0.564 0.750 0.574
Tl2 Tl 0.615 0.750 0.866
O4 O 0.033 0.020 0.642
O5 O 0.967 0.980 0.358
O6 O 0.967 0.520 0.358
Ti2 Ti 0.196 0.250 0.528
O7 O 0.033 0.480 0.642
O8 O 0.436 0.250 0.426
Al2 Al 0.789 0.250 0.639
```